(1)
Computed, not measured: a relaxed structure of V2FeBiO6 at the GGA+U level of DFT.

Cell: 11.2379 8.8901 5.5115 Å, 90.00 113.32 90.00°
Closest atoms and distances in Å follow each position.
Space group C2/c (No. 15)
Unique sites:
V 0.2356 0.1122 0.3875 (multiplicity 8)  4 O 1.80-1.99
Fe 0.0000 0.4346 0.2500 (multiplicity 4)  6 O 2.11-2.16
Bi 0.0000 0.1722 0.7500 (multiplicity 4)  6 O 2.40-2.61
O 0.1029 0.3899 0.6640 (multiplicity 8)  1 V 1.94, 2 Fe 2.11-2.15
O 0.1394 0.0105 0.5672 (multiplicity 8)  2 V 1.95-1.99
O 0.1492 0.2831 0.2464 (multiplicity 8)  1 V 1.80

Properties
crystal system = monoclinic

(2)
Computed, not measured: a relaxed structure of VFeBiO2 at the GGA+U level of DFT.

Cell: 4.3037 4.3037 5.7803 Å, 90.00 90.00 90.00°
Closest atoms and distances in Å follow each position.
Space group P4/mmm (No. 123)
Unique sites:
V 0.0000 0.0000 0.0000 (multiplicity 1)  2 Bi 2.89, 4 Fe 3.04
Fe 0.5000 0.5000 0.0000 (multiplicity 1)  4 V 3.04
Bi 0.0000 0.0000 0.5000 (multiplicity 1)  4 O 2.15
O 0.0000 0.5000 0.5000 (multiplicity 2)  2 Bi 2.15

Properties
DOS(E_F) = 2.530 states/eV per cell
crystal system = tetragonal

(3)
Computed, not measured: a relaxed structure of Y2FeBiO6 at the GGA+U level of DFT.

Cell: 5.3488 5.3488 5.4524 Å, 90.00 90.00 90.00°
Closest atoms and distances in Å follow each position.
Space group P4mm (No. 99)
Unique sites:
Y 0.0000 0.5000 0.0000 (multiplicity 2)  4 O 2.26
Fe 0.0000 0.0000 0.6145 (multiplicity 1)  5 O 1.90-2.00
Bi 0.5000 0.5000 0.5720 (multiplicity 1)  5 O 2.26-2.28
O 0.0000 0.0000 0.2668 (multiplicity 1)  1 Fe 1.90
O 0.2383 0.2383 0.7733 (multiplicity 4)  1 Fe 2.00
O 0.5000 0.5000 0.1539 (multiplicity 1)  1 Bi 2.28

Properties
crystal system = tetragonal

(4)
Computed, not measured: a relaxed structure of YFeBi2O6 at the GGA+U level of DFT.

Cell: 5.8415 5.8415 14.7640 Å, 90.00 90.00 120.00°
Closest atoms and distances in Å follow each position.
Space group R3 (No. 146, hexagonal axes)
Unique sites:
Y 0.0000 0.0000 0.0000 (multiplicity 3)  6 O 2.21-2.36
Fe 0.0000 0.0000 0.4950 (multiplicity 3)  6 O 2.03-2.14
Bi 0.0000 0.0000 0.2823 (multiplicity 3)  6 O 2.31-2.55
Bi 0.0000 0.0000 0.7821 (multiplicity 3)  6 O 2.35-2.47
O 0.0818 0.3428 0.5574 (multiplicity 9)  1 Fe 2.03
O 0.0886 0.7108 0.0634 (multiplicity 9)  1 Fe 2.14, 1 Y 2.21, 1 Bi 2.31

Properties
DOS(E_F) = 0.000 states/eV per cell
crystal system = trigonal

(5)
Computed, not measured: a relaxed structure of ZrFeBi2O6 at the GGA+U level of DFT.

Cell: 5.7816 5.8129 5.9142 Å, 118.66 91.30 119.07°
Closest atoms and distances in Å follow each position.
Space group P1 (No. 1)
Unique sites:
Zr 0.0000 0.0000 0.0000 (multiplicity 1)  6 O 2.05-2.24
Fe 0.4999 0.0007 0.4996 (multiplicity 1)  6 O 2.08-2.32
Bi 0.2855 0.5678 0.8475 (multiplicity 1)  6 O 2.32-2.54
Bi 0.7805 0.5677 0.3539 (multiplicity 1)  6 O 2.29-2.56
O 0.1532 0.8618 0.1935 (multiplicity 1)  1 Zr 2.07, 1 Fe 2.19
O 0.1960 0.8439 0.6938 (multiplicity 1)  1 Fe 2.19, 1 Zr 2.21, 2 Bi 2.31-2.42
O 0.3242 0.4693 0.1873 (multiplicity 1)  1 Zr 2.05
O 0.6458 0.4943 0.6882 (multiplicity 1)  1 Fe 2.17, 1 Zr 2.24, 1 Bi 2.29
O 0.7059 0.0338 0.1792 (multiplicity 1)  1 Zr 2.06, 1 Fe 2.30
O 0.8372 0.0350 0.6807 (multiplicity 1)  1 Fe 2.08, 1 Zr 2.23, 1 Bi 2.30

Properties
DOS(E_F) = 0.000 states/eV per cell
crystal system = triclinic

Number 1: E_tot -282.14 eV/cell. Number 2: E_tot -23.81 eV/cell. Number 3: E_tot -73.83 eV/cell. Number 4: E_tot -203.63 eV/cell. Number 5: E_tot -70.27 eV/cell.